i | This record from the Alexandria database describes a geometry-optimized HIrNF2 structure. The functional is GGA-PBE.

Cell: 4.198 4.198 3.692 Å, 90.00 90.00 90.00°
Each line ends with the local moment (μB).
Atoms (fractional coordinates):
H (0.500, 0.500, 0.500)  0.36
N (0.000, 0.000, 0.500)  -0.24
Ir (0.000, 0.000, 0.000)  -0.19
F (0.000, 0.500, 0.000)  0.01
F (0.500, 0.000, 0.000)  0.01

SG   No. 123
Theoretical density   6.26 g/cm³
Fermi-level density of states   2.0 states/eV per cell

ii | This record from the Alexandria database describes a geometry-optimized HIrNF2 structure. The functional is GGA-PBE.

Cell: 2.919 2.919 6.286 Å, 90.00 90.00 90.00°
Each line ends with the local moment (μB).
Atoms (fractional coordinates):
H (0.000, 0.000, 0.000)  -0.01
N (0.000, 0.000, 0.500)  0.10
Ir (0.500, 0.500, 0.500)  0.37
F (0.000, 0.500, 0.000)  0.31
F (0.500, 0.000, 0.000)  0.31

SG   No. 123
Theoretical density   7.60 g/cm³
Fermi-level density of states   3.1 states/eV per cell

In order of decreasing stability: i, ii.

i | This record from the Alexandria database describes a geometry-optimized HIrOF2 structure. The functional is GGA-PBE.

Cell: 4.226 4.226 3.668 Å, 90.00 90.00 90.00°
Each line ends with the local moment (μB).
Atoms (fractional coordinates):
H (0.500, 0.500, 0.500)  0.38
Ir (0.000, 0.000, 0.000)  -0.03
O (0.000, 0.000, 0.500)  0.00
F (0.000, 0.500, 0.000)  0.02
F (0.500, 0.000, 0.000)  0.02

SG   No. 123
Theoretical density   6.27 g/cm³
Fermi-level density of states   2.0 states/eV per cell

ii | This record from the Alexandria database describes a geometry-optimized HIrOF2 structure. The functional is GGA-PBE.

Cell: 3.069 3.069 4.852 Å, 90.00 90.00 90.00°
Each line ends with the local moment (μB).
Atoms (fractional coordinates):
H (0.000, 0.000, 0.000)  0.00
Ir (0.500, 0.500, 0.500)  1.64
O (0.000, 0.000, 0.500)  0.24
F (0.000, 0.500, 0.000)  0.15
F (0.500, 0.000, 0.000)  0.15

SG   No. 123
Theoretical density   8.98 g/cm³
Fermi-level density of states   2.7 states/eV per cell

In order of decreasing stability: i, ii.

i | This record from the Alexandria database describes a geometry-optimized KHF3 structure. The functional is GGA-PBE.

Cell: 5.186 6.595 9.759 Å, 105.24 90.00 90.00°
Each line ends with the local moment (μB).
Atoms (fractional coordinates):
K (0.415, 0.579, 0.330)  0.00
K (0.585, 0.421, 0.670)  0.00
K (0.085, 0.079, 0.830)  0.00
K (0.915, 0.921, 0.170)  0.00
H (0.978, 0.423, 0.177)  0.00
H (0.478, 0.077, 0.323)  0.00
H (0.022, 0.577, 0.823)  0.00
H (0.522, 0.923, 0.677)  0.00
F (0.093, 0.434, 0.748)  0.03
F (0.407, 0.934, 0.248)  0.03
F (0.578, 0.234, 0.397)  0.05
F (0.078, 0.266, 0.103)  0.05
F (0.422, 0.766, 0.603)  0.05
F (0.907, 0.566, 0.252)  0.03
F (0.894, 0.062, 0.473)  0.00
F (0.106, 0.938, 0.527)  0.00
F (0.593, 0.066, 0.752)  0.03
F (0.922, 0.734, 0.897)  0.05
F (0.606, 0.562, 0.973)  0.00
F (0.394, 0.438, 0.027)  0.00

SG   No. 14
Theoretical density   2.00 g/cm³
Fermi-level density of states   0.0 states/eV per cell

ii | This record from the Alexandria database describes a geometry-optimized KHF3 structure. The functional is GGA-PBE.

Cell: 5.157 5.157 5.157 Å, 90.00 90.00 90.00°
Each line ends with the local moment (μB).
Atoms (fractional coordinates):
H (0.500, 0.500, 0.500)  -0.31
K (0.000, 0.000, 0.000)  0.00
F (0.000, 0.500, 0.000)  0.55
F (0.000, 0.000, 0.500)  0.52
F (0.500, 0.000, 0.000)  0.45

SG   No. 221
Theoretical density   1.18 g/cm³
Fermi-level density of states   21.4 states/eV per cell

In order of decreasing stability: i, ii.

i | This record from the Alexandria database describes a geometry-optimized KHF3 structure. The functional is GGA-PBE.

Cell: 7.002 6.559 6.559 Å, 93.95 83.28 83.28°
Each line ends with the local moment (μB).
Atoms (fractional coordinates):
K (0.250, 0.916, 0.084)  0.00
K (0.750, 0.084, 0.916)  0.00
K (0.250, 0.412, 0.588)  0.00
K (0.750, 0.588, 0.412)  0.00
H (0.696, 0.617, 0.954)  0.00
H (0.804, 0.046, 0.383)  0.00
H (0.304, 0.383, 0.046)  0.00
H (0.196, 0.954, 0.617)  0.00
F (0.612, 0.720, 0.062)  0.02
F (0.888, 0.938, 0.280)  0.02
F (0.388, 0.280, 0.938)  0.02
F (0.112, 0.062, 0.720)  0.02
F (0.813, 0.479, 0.822)  0.38
F (0.687, 0.178, 0.521)  0.38
F (0.187, 0.521, 0.178)  0.38
F (0.313, 0.822, 0.479)  0.38
F (0.453, 0.734, 0.711)  0.53
F (0.047, 0.289, 0.266)  0.53
F (0.547, 0.266, 0.289)  0.53
F (0.953, 0.711, 0.734)  0.53

SG   No. 15
Theoretical density   2.18 g/cm³

ii | This record from the Alexandria database describes a geometry-optimized KHF3 structure. The functional is GGA-PBE.

Cell: 3.788 3.788 3.788 Å, 90.00 90.00 90.00°
Each line ends with the local moment (μB).
Atoms (fractional coordinates):
H (0.000, 0.000, 0.000)  -0.02
K (0.500, 0.500, 0.500)  0.00
F (0.000, 0.500, 0.000)  0.38
F (0.000, 0.000, 0.500)  0.20
F (0.500, 0.000, 0.000)  0.36

SG   No. 221
Theoretical density   2.97 g/cm³
Fermi-level density of states   7.2 states/eV per cell

In order of decreasing stability: i, ii.

i | This record from the Alexandria database describes a geometry-optimized K2HF structure. The functional is GGA-PBE.

Cell: 3.317 3.317 6.652 Å, 90.00 90.00 90.00°
Atoms (fractional coordinates):
H (0.500, 0.500, 0.500)
K (0.000, 0.000, 0.757)
K (0.000, 0.000, 0.243)
F (0.500, 0.500, 0.000)

SG   No. 123
Theoretical density   2.23 g/cm³
Fermi-level density of states   0.0 states/eV per cell

ii | This record from the Alexandria database describes a geometry-optimized K2HF structure. The functional is GGA-PBE.

Cell: 3.812 3.812 7.058 Å, 74.33 74.33 60.00°
Atoms (fractional coordinates):
K (0.085, 0.085, 0.746)
K (0.249, 0.249, 0.254)
H (0.667, 0.667, 0.998)
F (0.499, 0.499, 0.502)

SG   No. 160
Theoretical density   1.93 g/cm³
Fermi-level density of states   0.0 states/eV per cell

In order of decreasing stability: ii, i.

i | This record from the Alexandria database describes a geometry-optimized KHF structure. The functional is GGA-PBE.

Cell: 3.741 3.770 7.865 Å, 89.94 103.76 90.00°
Each line ends with the local moment (μB).
Atoms (fractional coordinates):
H (0.479, 0.054, 0.958)  0.00
H (0.521, 0.946, 0.042)  0.00
K (0.840, 0.751, 0.679)  0.00
K (0.160, 0.249, 0.321)  0.00
F (0.335, 0.254, 0.671)  0.07
F (0.665, 0.746, 0.329)  0.07

SG   No. 12
Theoretical density   1.82 g/cm³
Fermi-level density of states   0.0 states/eV per cell

ii | This record from the Alexandria database describes a geometry-optimized KHF structure. The functional is GGA-PBE.

Cell: 3.823 3.823 4.470 Å, 115.32 115.32 90.00°
Each line ends with the local moment (μB).
Atoms (fractional coordinates):
H (0.668, 0.668, 0.336)  0.28
K (0.285, 0.285, 0.571)  0.02
F (0.896, 0.896, 0.793)  0.19

SG   No. 107
Theoretical density   1.89 g/cm³
Fermi-level density of states   0.1 states/eV per cell

iii | This record from the Alexandria database describes a geometry-optimized KHF structure. The functional is GGA-PBE.

Cell: 4.946 4.947 5.075 Å, 119.01 118.99 90.00°
Atoms (fractional coordinates):
K (0.520, 0.273, 0.890)
K (0.020, 0.773, 0.890)
H (0.468, 0.720, 0.785)
H (0.573, 0.825, 0.996)
F (0.826, 0.078, 0.501)
F (0.215, 0.468, 0.280)

SG   No. 12
Theoretical density   2.17 g/cm³
Fermi-level density of states   0.0 states/eV per cell

In order of decreasing stability: i, iii, ii.